LaSiPd | PBE | optimized geometry

Geometry as CIF:
```
data_LaSiPd
_symmetry_space_group_name_H-M 'P -6 m 2'
_symmetry_Int_Tables_number 187
_symmetry_space_group_name_Hall 'P -6 2'
_cell_length_a 4.2524
_cell_length_b 4.2524
_cell_length_c 4.3288
_cell_angle_alpha 90.00
_cell_angle_beta 90.00
_cell_angle_gamma 120.00
loop_
_atom_site_label
_atom_site_type_symbol
_atom_site_fract_x
_atom_site_fract_y
_atom_site_fract_z
La1 La 0.0000 0.0000 0.0000
Si1 Si 0.6667 0.3333 0.5000
Pd1 Pd 0.3333 0.6667 0.5000
```

The value obtained for the formation energy (no corrections) is -919 meV/atom. The calculation puts the magnetic moment at 0.000 μB per atom.

=====

Ta2ZnSe | PBE | optimized geometry

Geometry as CIF:
```
data_Ta2ZnSe
_symmetry_space_group_name_H-M 'I m m m'
_symmetry_Int_Tables_number 71
_symmetry_space_group_name_Hall '-I 2 2'
_cell_length_a 3.269
_cell_length_b 4.826
_cell_length_c 8.733
_cell_angle_alpha 90.00
_cell_angle_beta 90.00
_cell_angle_gamma 90.00
loop_
_atom_site_label
_atom_site_type_symbol
_atom_site_fract_x
_atom_site_fract_y
_atom_site_fract_z
Ta1 Ta 0.000 0.000 0.243
Zn1 Zn 0.000 0.500 0.000
Se1 Se 0.000 0.500 0.500
```

The value obtained for the energy relative to the lowest polymorph listed for this composition is 13.27 kJ/mol of atoms. The value obtained for the formation energy (no corrections) is 106 meV/atom. The calculation puts the magnetic moment at 0.000 μB per atom.

=====

BaTl3 | PBE | optimized geometry

Geometry as CIF:
```
data_BaTl3
_symmetry_space_group_name_H-M 'P 4/m m m'
_symmetry_Int_Tables_number 123
_symmetry_space_group_name_Hall '-P 4 2'
_cell_length_a 4.125
_cell_length_b 4.125
_cell_length_c 8.002
_cell_angle_alpha 90.00
_cell_angle_beta 90.00
_cell_angle_gamma 90.00
loop_
_atom_site_label
_atom_site_type_symbol
_atom_site_fract_x
_atom_site_fract_y
_atom_site_fract_z
Ba1 Ba 0.000 0.000 0.000
Tl1 Tl 0.000 0.000 0.500
Tl2 Tl 0.500 0.500 0.287
```

For the total energy, the calculation gives -2.4826 eV per atom. The calculation puts the magnetic moment at 0.000 μB per atom.

=====

YbNdZn2 | PBE | optimized geometry

Geometry as CIF:
```
data_YbNdZn2
_symmetry_space_group_name_H-M 'F m -3 m'
_symmetry_Int_Tables_number 225
_symmetry_space_group_name_Hall '-F 4 2 3'
_cell_length_a 7.290
_cell_length_b 7.290
_cell_length_c 7.290
_cell_angle_alpha 90.00
_cell_angle_beta 90.00
_cell_angle_gamma 90.00
loop_
_atom_site_label
_atom_site_type_symbol
_atom_site_fract_x
_atom_site_fract_y
_atom_site_fract_z
Yb1 Yb 0.000 0.000 0.000
Nd1 Nd 0.000 0.000 0.500
Zn1 Zn 0.250 0.250 0.250
```

For the total energy, the calculation gives -2.5563 eV per atom. The calculation puts the magnetic moment at 0.051 μB per atom.

=====

Pu2NiH8 | PBE | optimized geometry

Geometry as CIF:
```
data_Pu2NiH8
_symmetry_space_group_name_H-M 'I m m m'
_symmetry_Int_Tables_number 71
_symmetry_space_group_name_Hall '-I 2 2'
_cell_length_a 3.841
_cell_length_b 4.491
_cell_length_c 10.581
_cell_angle_alpha 90.00
_cell_angle_beta 90.00
_cell_angle_gamma 90.00
loop_
_atom_site_label
_atom_site_type_symbol
_atom_site_fract_x
_atom_site_fract_y
_atom_site_fract_z
Pu1 Pu 0.000 0.000 0.166
Ni1 Ni 0.000 0.000 0.500
H1 H 0.000 0.229 0.381
H2 H 0.000 0.270 0.000
H3 H 0.000 0.500 0.223
```

For the total energy, the calculation gives -5.7516 eV per atom. The calculation puts the magnetic moment at 0.933 μB per atom.

=====

PrNdIn2Se4 | PBE | optimized geometry

Geometry as CIF:
```
data_PrNdIn2Se4
_symmetry_space_group_name_H-M 'P 1 2/m 1'
_symmetry_Int_Tables_number 10
_symmetry_space_group_name_Hall '-P 2y'
_cell_length_a 7.461
_cell_length_b 4.307
_cell_length_c 8.108
_cell_angle_alpha 90.00
_cell_angle_beta 107.84
_cell_angle_gamma 90.00
loop_
_atom_site_label
_atom_site_type_symbol
_atom_site_fract_x
_atom_site_fract_y
_atom_site_fract_z
Pr1 Pr 0.000 0.000 0.000
Nd1 Nd 0.500 0.500 0.000
In1 In 0.000 0.500 0.500
In2 In 0.500 0.000 0.500
Se1 Se 0.241 0.500 0.217
Se2 Se 0.263 0.000 0.784
```

The value obtained for the formation energy (no corrections) is -1288 meV/atom. The calculation puts the magnetic moment at 0.000 μB per atom.

=====

La3YBi4 | PBE | optimized geometry

Geometry as CIF:
```
data_La3YBi4
_symmetry_space_group_name_H-M 'P 1 2/c 1'
_symmetry_Int_Tables_number 13
_symmetry_space_group_name_Hall '-P 2yc'
_cell_length_a 8.050
_cell_length_b 9.315
_cell_length_c 8.059
_cell_angle_alpha 90.00
_cell_angle_beta 109.51
_cell_angle_gamma 90.00
loop_
_atom_site_label
_atom_site_type_symbol
_atom_site_fract_x
_atom_site_fract_y
_atom_site_fract_z
La1 La 0.000 0.124 0.250
La2 La 0.000 0.373 0.750
La3 La 0.500 0.374 0.250
Y1 Y 0.500 0.124 0.750
Bi1 Bi 0.254 0.371 0.504
Bi2 Bi 0.258 0.120 0.000
```

For the total energy, the calculation gives -5.6069 eV per atom. The calculation puts the magnetic moment at 0.000 μB per atom.

=====

Ac4AgPbN | PBE | optimized geometry

Geometry as CIF:
```
data_Ac4AgPbN
_symmetry_space_group_name_H-M 'P 1 21/m 1'
_symmetry_Int_Tables_number 11
_symmetry_space_group_name_Hall '-P 2yb'
_cell_length_a 7.410
_cell_length_b 7.575
_cell_length_c 9.389
_cell_angle_alpha 90.00
_cell_angle_beta 107.82
_cell_angle_gamma 90.00
loop_
_atom_site_label
_atom_site_type_symbol
_atom_site_fract_x
_atom_site_fract_y
_atom_site_fract_z
Ac1 Ac 0.003 0.007 0.259
Ac2 Ac 0.414 0.250 0.134
Ac3 Ac 0.416 0.250 0.570
Ag1 Ag 0.222 0.750 0.551
Pb1 Pb 0.246 0.750 0.065
N1 N 0.228 0.250 0.309
```

The value obtained for the formation energy (no corrections) is -553 meV/atom. The calculation puts the magnetic moment at 0.027 μB per atom.